A plane-wave DFT calculation with GGA-PBE was carried out for a geometry-optimized LaZnW structure.

The structure in CIF format:
```
data_LaZnW
_chemical_formula_sum 'La1 Zn1 W1'
_cell_length_a 7.396
_cell_length_b 7.396
_cell_length_c 2.910
_cell_angle_alpha 78.66
_cell_angle_beta 78.66
_cell_angle_gamma 22.69
_space_group_name_H-M_alt 'P 1'
_space_group_IT_number 1
loop_
_space_group_symop_operation_xyz
'x,y,z'
loop_
_atom_site_label
_atom_site_fract_x
_atom_site_fract_y
_atom_site_fract_z
_atom_site_occupancy
La1 0.998 0.998 0.002 1
W1 0.685 0.685 0.315 1
Zn1 0.317 0.317 0.683 1
```

Values from the calculation:
crystal system	tetragonal
formation energy from the elements	0.457	eV/atom
total magnetization	0.000	μB/atom
offset from the most stable computed form	0	meV per atom

***

A plane-wave DFT calculation with GGA-PBE was carried out for a geometry-optimized LaZnW structure.

The structure in CIF format:
```
data_LaZnW
_chemical_formula_sum 'La1 Zn1 W1'
_cell_length_a 2.961
_cell_length_b 2.961
_cell_length_c 7.980
_cell_angle_alpha 90.00
_cell_angle_beta 90.00
_cell_angle_gamma 120.00
_space_group_name_H-M_alt 'P 1'
_space_group_IT_number 1
loop_
_space_group_symop_operation_xyz
'x,y,z'
loop_
_atom_site_label
_atom_site_fract_x
_atom_site_fract_y
_atom_site_fract_z
_atom_site_occupancy
La1 0.000 0.000 0.001 1
W1 0.667 0.333 0.361 1
Zn1 0.333 0.667 0.638 1
```

Values from the calculation:
crystal system	trigonal
formation energy from the elements	0.610	eV/atom
total magnetization	0.000	μB/atom
offset from the most stable computed form	153	meV per atom

***

A plane-wave DFT calculation with GGA-PBE was carried out for a geometry-optimized LaZnW3 structure.

The structure in CIF format:
```
data_LaZnW3
_chemical_formula_sum 'La1 Zn1 W3'
_cell_length_a 4.749
_cell_length_b 4.749
_cell_length_c 4.749
_cell_angle_alpha 90.00
_cell_angle_beta 90.00
_cell_angle_gamma 90.00
_space_group_name_H-M_alt 'P 1'
_space_group_IT_number 1
loop_
_space_group_symop_operation_xyz
'x,y,z'
loop_
_atom_site_label
_atom_site_fract_x
_atom_site_fract_y
_atom_site_fract_z
_atom_site_occupancy
Zn1 0.000 0.000 0.000 1
W1 0.000 0.500 0.000 1
W2 0.000 0.000 0.500 1
W3 0.500 0.000 0.000 1
La1 0.500 0.500 0.500 1
```

Values from the calculation:
crystal system	cubic
formation energy from the elements	1.670	eV/atom
total magnetization	0.000	μB/atom
offset from the most stable computed form	0	meV per atom

***

A plane-wave DFT calculation with GGA-PBE was carried out for a geometry-optimized LaZnW4 structure.

The structure in CIF format:
```
data_LaZnW4
_chemical_formula_sum 'La1 Zn1 W4'
_cell_length_a 5.495
_cell_length_b 5.495
_cell_length_c 5.495
_cell_angle_alpha 60.00
_cell_angle_beta 60.00
_cell_angle_gamma 60.00
_space_group_name_H-M_alt 'P 1'
_space_group_IT_number 1
loop_
_space_group_symop_operation_xyz
'x,y,z'
loop_
_atom_site_label
_atom_site_fract_x
_atom_site_fract_y
_atom_site_fract_z
_atom_site_occupancy
La1 0.000 0.000 0.000 1
Zn1 0.750 0.750 0.750 1
W1 0.875 0.375 0.375 1
W2 0.375 0.375 0.875 1
W3 0.375 0.875 0.375 1
W4 0.375 0.375 0.375 1
```

Values from the calculation:
crystal system	cubic
formation energy from the elements	0.593	eV/atom
total magnetization	0.000	μB/atom

***

A plane-wave DFT calculation with GGA-PBE was carried out for a geometry-optimized LaZnW structure.

The structure in CIF format:
```
data_LaZnW
_chemical_formula_sum 'La1 Zn1 W1'
_cell_length_a 4.652
_cell_length_b 4.652
_cell_length_c 4.652
_cell_angle_alpha 60.00
_cell_angle_beta 60.00
_cell_angle_gamma 60.00
_space_group_name_H-M_alt 'P 1'
_space_group_IT_number 1
loop_
_space_group_symop_operation_xyz
'x,y,z'
loop_
_atom_site_label
_atom_site_fract_x
_atom_site_fract_y
_atom_site_fract_z
_atom_site_occupancy
La1 0.000 0.000 0.000 1
W1 0.500 0.500 0.500 1
Zn1 0.750 0.750 0.750 1
```

Values from the calculation:
crystal system	cubic
formation energy from the elements	0.943	eV/atom
total magnetization	0.073	μB/atom
offset from the most stable computed form	486	meV per atom

***

A plane-wave DFT calculation with GGA-PBE was carried out for a geometry-optimized LaZnW structure.

The structure in CIF format:
```
data_LaZnW
_chemical_formula_sum 'La1 Zn1 W1'
_cell_length_a 4.893
_cell_length_b 4.893
_cell_length_c 4.893
_cell_angle_alpha 60.00
_cell_angle_beta 60.00
_cell_angle_gamma 60.00
_space_group_name_H-M_alt 'P 1'
_space_group_IT_number 1
loop_
_space_group_symop_operation_xyz
'x,y,z'
loop_
_atom_site_label
_atom_site_fract_x
_atom_site_fract_y
_atom_site_fract_z
_atom_site_occupancy
La1 0.750 0.750 0.750 1
W1 0.000 0.000 0.000 1
Zn1 0.500 0.500 0.500 1
```

Values from the calculation:
crystal system	cubic
formation energy from the elements	1.490	eV/atom
total magnetization	0.999	μB/atom
offset from the most stable computed form	1033	meV per atom

***

A plane-wave DFT calculation with GGA-PBE was carried out for a geometry-optimized LaZnW structure.

The structure in CIF format:
```
data_LaZnW
_chemical_formula_sum 'La1 Zn1 W1'
_cell_length_a 4.952
_cell_length_b 4.952
_cell_length_c 2.989
_cell_angle_alpha 90.00
_cell_angle_beta 90.00
_cell_angle_gamma 120.00
_space_group_name_H-M_alt 'P 1'
_space_group_IT_number 1
loop_
_space_group_symop_operation_xyz
'x,y,z'
loop_
_atom_site_label
_atom_site_fract_x
_atom_site_fract_y
_atom_site_fract_z
_atom_site_occupancy
La1 0.000 0.000 0.000 1
W1 0.667 0.333 0.500 1
Zn1 0.333 0.667 0.500 1
```

Values from the calculation:
crystal system	hexagonal
formation energy from the elements	0.585	eV/atom
total magnetization	0.000	μB/atom
offset from the most stable computed form	127	meV per atom

***

A plane-wave DFT calculation with GGA-PBE was carried out for a geometry-optimized LaZnW3 structure.

The structure in CIF format:
```
data_LaZnW3
_chemical_formula_sum 'La1 Zn1 W3'
_cell_length_a 4.865
_cell_length_b 4.865
_cell_length_c 4.865
_cell_angle_alpha 90.00
_cell_angle_beta 90.00
_cell_angle_gamma 90.00
_space_group_name_H-M_alt 'P 1'
_space_group_IT_number 1
loop_
_space_group_symop_operation_xyz
'x,y,z'
loop_
_atom_site_label
_atom_site_fract_x
_atom_site_fract_y
_atom_site_fract_z
_atom_site_occupancy
Zn1 0.500 0.500 0.500 1
W1 0.000 0.500 0.000 1
W2 0.000 0.000 0.500 1
W3 0.500 0.000 0.000 1
La1 0.000 0.000 0.000 1
```

Values from the calculation:
crystal system	cubic
formation energy from the elements	2.981	eV/atom
total magnetization	0.000	μB/atom
offset from the most stable computed form	1311	meV per atom

***

Question: Among the records above, which one has the highest total magnetization?
Answer: number 6

***

Question: Look up the total magnetization of the eighth one.
Answer: 0.000 μB/atom